Record 1
{
  "formula": "SrInRu",
  "functional": "GGA-PBE",
  "state": "optimized geometry",
  "lattice_angstrom": [[4.6479, 0.0000, 0.0000], [-2.3240, 4.0252, 0.0000], [0.0000, 0.0000, 4.2091]],
  "species": ["In", "Ru", "Sr"],
  "fractional_positions": [[0.0000, 0.0000, 0.1668], [0.6667, 0.3333, 0.1666], [0.3333, 0.6667, 0.6666]],
  "spacegroup": "No. 187",
  "delta_e_f_ev_per_atom": 0.119,
  "dos_at_fermi_per_ev_cell": 1.94
}

Record 2
{
  "formula": "SrInRu",
  "functional": "GGA-PBE",
  "state": "optimized geometry",
  "lattice_angstrom": [[-0.0549, -4.2940, -4.4323], [0.8018, -5.9684, -1.3497], [-3.2628, -1.5458, 0.0670]],
  "species": ["In", "Ru", "Sr"],
  "fractional_positions": [[0.9566, 0.9566, 0.0434], [0.3699, 0.3699, 0.6301], [0.6735, 0.6735, 0.3265]],
  "spacegroup": "No. 107",
  "delta_e_f_ev_per_atom": 0.092,
  "dos_at_fermi_per_ev_cell": 2.32
}

Record 3
{
  "formula": "SrTaIn2Ru",
  "functional": "GGA-PBE",
  "state": "optimized geometry",
  "lattice_angstrom": [[-2.7000, -3.6354, 2.4262], [0.3209, -3.0888, -4.2710], [4.3594, -2.0363, 1.8002]],
  "species": ["Ru", "In", "In", "Sr", "Ta"],
  "fractional_positions": [[0.0000, 0.0000, 0.0000], [0.0000, 0.0000, 0.5000], [0.5000, 0.0000, 0.0000], [0.0000, 0.5000, 0.0000], [0.5000, 0.5000, 0.5000]],
  "spacegroup": "No. 123",
  "delta_e_f_ev_per_atom": 1.107,
  "dos_at_fermi_per_ev_cell": 9.65
}

Record 4
{
  "formula": "SrIn2TcRu",
  "functional": "GGA-PBE",
  "state": "optimized geometry",
  "lattice_angstrom": [[5.5954, 0.0000, 0.0000], [0.0000, 4.6771, 0.0000], [0.0000, 0.0000, 5.5954]],
  "species": ["Ru", "Tc", "Sr", "In", "In"],
  "fractional_positions": [[0.0000, 0.5000, 0.0000], [0.5000, 0.5000, 0.5000], [0.0000, 0.0000, 0.0000], [0.0000, 0.0000, 0.5000], [0.5000, 0.0000, 0.0000]],
  "spacegroup": "No. 123",
  "delta_e_f_ev_per_atom": 2.307,
  "dos_at_fermi_per_ev_cell": 7.19
}

Record 5
{
  "formula": "SrTlIn2Ru",
  "functional": "GGA-PBE",
  "state": "optimized geometry",
  "lattice_angstrom": [[-0.0930, 5.1430, 0.6624], [0.2336, -0.6576, 5.1391], [5.2962, 0.1248, -0.2248]],
  "species": ["Ru", "Tl", "Sr", "In", "In"],
  "fractional_positions": [[0.0000, 0.0000, 0.0000], [0.0000, 0.0000, 0.5000], [0.5000, 0.5000, 0.5000], [0.0000, 0.5000, 0.0000], [0.5000, 0.0000, 0.0000]],
  "spacegroup": "No. 123",
  "delta_e_f_ev_per_atom": -0.094,
  "dos_at_fermi_per_ev_cell": 4.66
}

Record 6
{
  "formula": "SrZnIn2Ru",
  "functional": "GGA-PBE",
  "state": "optimized geometry",
  "lattice_angstrom": [[-4.5666, 2.2608, 0.6724], [-2.2592, -4.6135, 0.1689], [0.6566, -0.1409, 4.9327]],
  "species": ["Ru", "Zn", "Sr", "In", "In"],
  "fractional_positions": [[0.0000, 0.0000, 0.0000], [0.0000, 0.0000, 0.5000], [0.5000, 0.5000, 0.5000], [0.0000, 0.5000, 0.0000], [0.5000, 0.0000, 0.0000]],
  "spacegroup": "No. 123",
  "delta_e_f_ev_per_atom": -0.161,
  "dos_at_fermi_per_ev_cell": 2.52
}

Record 7
{
  "formula": "TaIn2Ru",
  "functional": "GGA-PBE",
  "state": "optimized geometry",
  "lattice_angstrom": [[-1.1240, -4.3278, -1.4515], [-2.4643, -2.8547, 2.8069], [-4.4634, -1.0441, -1.0435]],
  "species": ["Ru", "In", "In", "Ta"],
  "fractional_positions": [[0.0000, 0.0000, 0.0000], [0.2500, 0.2500, 0.2500], [0.7500, 0.7500, 0.7500], [0.5000, 0.5000, 0.5000]],
  "spacegroup": "No. 225",
  "delta_e_f_ev_per_atom": 0.404,
  "de_polymorph_kj_per_mol_atoms": 45.9,
  "dos_at_fermi_per_ev_cell": 10.08
}

Record 8
{
  "formula": "Ta2InRu",
  "functional": "GGA-PBE",
  "state": "optimized geometry",
  "lattice_angstrom": [[-0.4157, -0.6202, -3.0460], [-1.3736, -2.7201, 0.7414], [-6.5610, 3.3702, 0.2092]],
  "species": ["In", "Ru", "Ta", "Ta"],
  "fractional_positions": [[0.0000, 0.0000, 0.5188], [0.5000, 0.5000, 0.7780], [0.0000, 0.0000, 0.9712], [0.5000, 0.5000, 0.2320]],
  "spacegroup": "No. 99",
  "delta_e_f_ev_per_atom": -0.046,
  "dos_at_fermi_per_ev_cell": 3.63
}

Record 9
{
  "formula": "TaInRu4",
  "functional": "GGA-PBE",
  "state": "optimized geometry",
  "lattice_angstrom": [[0.0000, 3.6390, 3.6390], [3.6390, 0.0000, 3.6390], [3.6390, 3.6390, 0.0000]],
  "species": ["Ta", "In", "Ru", "Ru", "Ru", "Ru"],
  "fractional_positions": [[0.7500, 0.7500, 0.7500], [0.0000, 0.0000, 0.0000], [0.8762, 0.3746, 0.3746], [0.3746, 0.3746, 0.8762], [0.3746, 0.8762, 0.3746], [0.3746, 0.3746, 0.3746]],
  "spacegroup": "No. 216",
  "delta_e_f_ev_per_atom": 0.123,
  "dos_at_fermi_per_ev_cell": 7.21
}

Record 10
{
  "formula": "Ta2InRu",
  "functional": "GGA-PBE",
  "state": "optimized geometry",
  "lattice_angstrom": [[-3.4436, 3.9623, 0.8220], [-4.0458, 1.7789, 2.9497], [1.6153, 2.9529, 3.4874]],
  "species": ["In", "Ru", "Ta", "Ta"],
  "fractional_positions": [[0.5135, 0.5135, 0.4686], [0.2630, 0.2630, 0.2638], [0.9850, 0.9850, 0.9937], [0.7385, 0.7385, 0.7738]],
  "spacegroup": "No. 8",
  "delta_e_f_ev_per_atom": 0.033,
  "dos_at_fermi_per_ev_cell": 3.35
}

Record 11
{
  "formula": "TaIn2Ru",
  "functional": "GGA-PBE",
  "state": "optimized geometry",
  "lattice_angstrom": [[-5.8947, 1.4201, -1.2034], [-3.5705, -2.7324, -4.2424], [3.4841, -0.2113, 5.1018]],
  "species": ["In", "In", "Ru", "Ta"],
  "fractional_positions": [[0.0119, 0.0119, 0.0000], [0.7141, 0.2141, 0.5000], [0.4783, 0.4783, 0.0000], [0.2957, 0.7957, 0.5000]],
  "spacegroup": "No. 44",
  "delta_e_f_ev_per_atom": 0.167,
  "de_polymorph_kj_per_mol_atoms": 23.1,
  "dos_at_fermi_per_ev_cell": 2.63
}

Record 12
{
  "formula": "TaIn2Ru",
  "functional": "GGA-PBE",
  "state": "optimized geometry",
  "lattice_angstrom": [[-2.2449, 1.8545, -3.1823], [-3.4735, -1.7024, 1.4581], [-0.6291, 3.3215, 2.3794]],
  "species": ["In", "In", "Ru", "Ta"],
  "fractional_positions": [[0.0000, 0.0000, 0.0000], [0.0000, 0.5000, 0.5000], [0.5000, 0.5000, 0.0000], [0.5000, 0.0000, 0.5000]],
  "spacegroup": "No. 123",
  "delta_e_f_ev_per_atom": 0.266,
  "de_polymorph_kj_per_mol_atoms": 32.6,
  "dos_at_fermi_per_ev_cell": 3.97
}

Record 13
{
  "formula": "TaIn2Ru",
  "functional": "GGA-PBE",
  "state": "optimized geometry",
  "lattice_angstrom": [[5.1282, -0.0003, 0.0000], [1.7039, 4.8368, 0.0000], [-3.4160, -2.4183, 2.9632]],
  "species": ["In", "In", "Ru", "Ta"],
  "fractional_positions": [[0.0000, 0.0000, 0.0000], [0.2500, 0.7500, 0.5000], [0.5000, 0.5000, 0.0000], [0.7500, 0.2500, 0.5000]],
  "spacegroup": "No. 119",
  "delta_e_f_ev_per_atom": 0.225,
  "de_polymorph_kj_per_mol_atoms": 28.7,
  "dos_at_fermi_per_ev_cell": 2.12
}

Record 14
{
  "formula": "Ta2InRu",
  "functional": "GGA-PBE",
  "state": "optimized geometry",
  "lattice_angstrom": [[-1.0074, 3.8593, 3.0965], [-0.9297, -6.0205, 1.9795], [1.9071, -1.0861, 1.9835]],
  "species": ["In", "Ru", "Ta", "Ta"],
  "fractional_positions": [[0.5000, 0.5000, 0.0000], [0.5000, 0.0000, 0.5000], [0.0000, 0.0000, 0.0000], [0.0000, 0.5000, 0.5000]],
  "spacegroup": "No. 12",
  "delta_e_f_ev_per_atom": 0.076,
  "dos_at_fermi_per_ev_cell": 3.42
}

Record 15
{
  "formula": "Ta2InRu",
  "functional": "GGA-PBE",
  "state": "optimized geometry",
  "lattice_angstrom": [[9.4366, -0.0232, -0.0136], [8.9663, 2.9418, -0.0136], [8.9663, 1.4220, 2.5753]],
  "species": ["In", "Ru", "Ta", "Ta"],
  "fractional_positions": [[0.2500, 0.2500, 0.2500], [0.7500, 0.7500, 0.7500], [0.0080, 0.0080, 0.0080], [0.4920, 0.4920, 0.4920]],
  "spacegroup": "No. 166",
  "delta_e_f_ev_per_atom": 0.150,
  "dos_at_fermi_per_ev_cell": 4.23
}

Record 16
{
  "formula": "Ta2InRu",
  "functional": "GGA-PBE",
  "state": "optimized geometry",
  "lattice_angstrom": [[4.5581, 0.0000, 0.0000], [0.0000, 2.9459, -0.0217], [0.0000, 0.9584, 5.3496]],
  "species": ["In", "Ru", "Ta", "Ta"],
  "fractional_positions": [[0.0000, 0.6231, 0.4910], [0.5000, 0.6698, 0.7928], [0.0000, 0.9713, 0.9711], [0.5000, 0.2357, 0.2450]],
  "spacegroup": "No. 6",
  "delta_e_f_ev_per_atom": 0.068,
  "dos_at_fermi_per_ev_cell": 3.50
}

Record 17
{
  "formula": "Ta2InRu3",
  "functional": "GGA-PBE",
  "state": "optimized geometry",
  "lattice_angstrom": [[3.2055, 0.0000, 0.0000], [0.0000, 3.2055, 0.0000], [0.0000, 0.0000, 9.5235]],
  "species": ["Ta", "Ta", "In", "Ru", "Ru", "Ru"],
  "fractional_positions": [[0.5000, 0.5000, 0.8353], [0.5000, 0.5000, 0.1647], [0.5000, 0.5000, 0.5000], [0.0000, 0.0000, 0.0000], [0.0000, 0.0000, 0.6819], [0.0000, 0.0000, 0.3181]],
  "spacegroup": "No. 123",
  "delta_e_f_ev_per_atom": -0.333,
  "dos_at_fermi_per_ev_cell": 4.18
}

Record 18
{
  "formula": "Ta2InRu",
  "functional": "GGA-PBE",
  "state": "optimized geometry",
  "lattice_angstrom": [[-2.8557, -1.3593, 1.3739], [-0.1216, -2.3201, -2.5481], [3.3807, -3.7835, 3.2836]],
  "species": ["In", "Ru", "Ta", "Ta"],
  "fractional_positions": [[0.5000, 0.5000, 0.2500], [0.5000, 0.5000, 0.7500], [0.0000, 0.0000, 0.9692], [0.0000, 0.0000, 0.5308]],
  "spacegroup": "No. 123",
  "delta_e_f_ev_per_atom": 0.133,
  "dos_at_fermi_per_ev_cell": 2.99
}

Record 19
{
  "formula": "TaIn2Ru",
  "functional": "GGA-PBE",
  "state": "optimized geometry",
  "lattice_angstrom": [[3.1025, 0.0000, 0.0000], [0.0000, 3.1025, 0.0000], [0.0000, 0.0000, 8.2867]],
  "species": ["In", "In", "Ru", "Ta"],
  "fractional_positions": [[0.0000, 0.0000, 0.9672], [0.5000, 0.5000, 0.2963], [0.0000, 0.0000, 0.5289], [0.5000, 0.5000, 0.7075]],
  "spacegroup": "No. 99",
  "delta_e_f_ev_per_atom": 0.001,
  "de_polymorph_kj_per_mol_atoms": 7.0,
  "dos_at_fermi_per_ev_cell": 3.23
}

Record 20
{
  "formula": "TaIn2Ru",
  "functional": "GGA-PBE",
  "state": "optimized geometry",
  "lattice_angstrom": [[9.3699, -0.0038, -0.0022], [8.8679, 3.0259, -0.0022], [8.8679, 1.4695, 2.6451]],
  "species": ["In", "In", "Ru", "Ta"],
  "fractional_positions": [[0.9943, 0.9943, 0.9943], [0.5057, 0.5057, 0.5057], [0.2500, 0.2500, 0.2500], [0.7500, 0.7500, 0.7500]],
  "spacegroup": "No. 166",
  "delta_e_f_ev_per_atom": 0.294,
  "de_polymorph_kj_per_mol_atoms": 35.3,
  "dos_at_fermi_per_ev_cell": 4.48
}

Record 21
{
  "formula": "TaIn2Ru",
  "functional": "GGA-PBE",
  "state": "optimized geometry",
  "lattice_angstrom": [[-2.1687, 7.7333, 4.7830], [-3.2049, 5.5015, 6.8445], [-0.1148, 6.3709, 6.8398]],
  "species": ["In", "In", "Ru", "Ta"],
  "fractional_positions": [[0.0044, 0.0044, 0.0044], [0.2419, 0.2419, 0.2419], [0.4915, 0.4915, 0.4915], [0.7622, 0.7622, 0.7622]],
  "spacegroup": "No. 160",
  "delta_e_f_ev_per_atom": 0.104,
  "de_polymorph_kj_per_mol_atoms": 17.0,
  "dos_at_fermi_per_ev_cell": 4.44
}

Record 22
{
  "formula": "TaIn4Ru",
  "functional": "GGA-PBE",
  "state": "optimized geometry",
  "lattice_angstrom": [[0.0000, 3.9705, 3.9705], [3.9705, 0.0000, 3.9705], [3.9705, 3.9705, 0.0000]],
  "species": ["Ta", "In", "In", "In", "In", "Ru"],
  "fractional_positions": [[0.0000, 0.0000, 0.0000], [0.8752, 0.3749, 0.3749], [0.3749, 0.3749, 0.8752], [0.3749, 0.8752, 0.3749], [0.3749, 0.3749, 0.3749], [0.7500, 0.7500, 0.7500]],
  "spacegroup": "No. 216",
  "delta_e_f_ev_per_atom": 0.902,
  "dos_at_fermi_per_ev_cell": 7.00
}

Record 23
{
  "formula": "TaIn2Ru",
  "functional": "GGA-PBE",
  "state": "optimized geometry",
  "lattice_angstrom": [[3.1820, 0.0000, 0.0000], [0.0000, 3.1820, 0.0000], [0.0000, 0.0000, 7.2297]],
  "species": ["In", "In", "Ru", "Ta"],
  "fractional_positions": [[0.0000, 0.0000, 0.0262], [0.0000, 0.0000, 0.4738], [0.5000, 0.5000, 0.2500], [0.5000, 0.5000, 0.7500]],
  "spacegroup": "No. 123",
  "delta_e_f_ev_per_atom": 0.219,
  "de_polymorph_kj_per_mol_atoms": 28.1,
  "dos_at_fermi_per_ev_cell": 3.85
}

Record 24
{
  "formula": "TaIn2Ru",
  "functional": "GGA-PBE",
  "state": "optimized geometry",
  "lattice_angstrom": [[-3.6335, 4.8306, 4.6079], [2.1256, -4.1360, 6.0120], [1.5683, 1.8748, 5.5398]],
  "species": ["Ru", "Ru", "In", "In", "In", "In", "Ta", "Ta"],
  "fractional_positions": [[0.5000, 0.5000, 0.0000], [0.2500, 0.7500, 0.5000], [0.6028, 0.1250, 0.2500], [0.1472, 0.6250, 0.2500], [0.3750, 0.3972, 0.7500], [0.8750, 0.8528, 0.7500], [0.0000, 0.0000, 0.0000], [0.7500, 0.2500, 0.5000]],
  "spacegroup": "No. 122",
  "delta_e_f_ev_per_atom": 0.624,
  "de_polymorph_kj_per_mol_atoms": 67.1,
  "dos_at_fermi_per_ev_cell": 6.11
}

Record 25
{
  "formula": "TaIn2Ru",
  "functional": "GGA-PBE",
  "state": "optimized geometry",
  "lattice_angstrom": [[-3.0866, -1.8198, 2.8493], [1.1442, -2.7746, -0.5325], [3.7947, -0.3268, 3.9020]],
  "species": ["In", "In", "Ru", "Ta"],
  "fractional_positions": [[0.0000, 0.0666, 0.0094], [0.0000, 0.4334, 0.4906], [0.5000, 0.2500, 0.2500], [0.5000, 0.7500, 0.7500]],
  "spacegroup": "No. 10",
  "delta_e_f_ev_per_atom": 0.275,
  "de_polymorph_kj_per_mol_atoms": 33.5,
  "dos_at_fermi_per_ev_cell": 2.48
}

Record 26
{
  "formula": "TaIn2Ru",
  "functional": "GGA-PBE",
  "state": "optimized geometry",
  "lattice_angstrom": [[-2.1952, -0.7140, 1.8765], [0.5371, -2.1086, -2.0286], [6.1452, -3.9170, 5.6984]],
  "species": ["In", "In", "Ru", "Ta"],
  "fractional_positions": [[0.0000, 0.0000, 0.0160], [0.0000, 0.0000, 0.4840], [0.5000, 0.5000, 0.2500], [0.5000, 0.5000, 0.7500]],
  "spacegroup": "No. 65",
  "delta_e_f_ev_per_atom": 0.342,
  "de_polymorph_kj_per_mol_atoms": 39.9,
  "dos_at_fermi_per_ev_cell": 3.90
}

Record 27
{
  "formula": "Ta2InRu",
  "functional": "GGA-PBE",
  "state": "optimized geometry",
  "lattice_angstrom": [[9.1039, -0.0290, -0.0171], [8.5878, 3.0218, -0.0171], [8.5878, 1.4528, 2.6497]],
  "species": ["In", "Ru", "Ta", "Ta"],
  "fractional_positions": [[0.4949, 0.4949, 0.4949], [0.7438, 0.7438, 0.7438], [0.0067, 0.0067, 0.0067], [0.2547, 0.2547, 0.2547]],
  "spacegroup": "No. 160",
  "delta_e_f_ev_per_atom": 0.110,
  "dos_at_fermi_per_ev_cell": 4.08
}

Record 28
{
  "formula": "TaIn2Ru",
  "functional": "GGA-PBE",
  "state": "optimized geometry",
  "lattice_angstrom": [[4.7135, 0.0000, 0.0000], [2.3567, 4.0820, 0.0000], [2.3567, 1.3607, 3.8485]],
  "species": ["In", "In", "Ru", "Ta"],
  "fractional_positions": [[0.0000, 0.0000, 0.0000], [0.2500, 0.2500, 0.2500], [0.5000, 0.5000, 0.5000], [0.7500, 0.7500, 0.7500]],
  "spacegroup": "No. 216",
  "delta_e_f_ev_per_atom": 0.298,
  "de_polymorph_kj_per_mol_atoms": 35.7,
  "dos_at_fermi_per_ev_cell": 2.51
}

Record 29
{
  "formula": "Ta2InRu",
  "functional": "GGA-PBE",
  "state": "optimized geometry",
  "lattice_angstrom": [[-2.3329, -2.6645, -2.4748], [3.3417, -2.0135, -0.9822], [-0.5476, -2.4445, 3.1481]],
  "species": ["In", "Ru", "Ta", "Ta"],
  "fractional_positions": [[0.5000, 0.5000, 0.0000], [0.5000, 0.0000, 0.5000], [0.0000, 0.0000, 0.0000], [0.0000, 0.5000, 0.5000]],
  "spacegroup": "No. 123",
  "delta_e_f_ev_per_atom": 0.032,
  "dos_at_fermi_per_ev_cell": 3.21
}

Record 30
{
  "formula": "TaIn2Ru",
  "functional": "GGA-PBE",
  "state": "optimized geometry",
  "lattice_angstrom": [[5.2202, -0.0005, 0.0000], [1.9262, 4.8518, 0.0000], [-3.5732, -2.4257, 2.9324]],
  "species": ["In", "In", "Ru", "Ta"],
  "fractional_positions": [[0.0000, 0.0000, 0.0000], [0.5000, 0.5000, 0.0000], [0.7500, 0.2500, 0.5000], [0.2500, 0.7500, 0.5000]],
  "spacegroup": "No. 139",
  "delta_e_f_ev_per_atom": 0.353,
  "de_polymorph_kj_per_mol_atoms": 41.0,
  "dos_at_fermi_per_ev_cell": 4.34
}

VASP energy (computed, eV per atom): -4.446 -4.473 -4.550 -3.053 -3.854 -3.702 -6.247 -8.976 -8.493 -8.897 -6.484 -6.385 -6.426 -8.854 -8.780 -8.862 -9.378 -8.797 -6.650 -6.358 -6.547 -4.445 -6.432 -6.028 -6.376 -6.310 -8.820 -6.353 -8.898 -6.298